# PBE+U MnAgO2F, relaxed
# DFT total energy in eV per atom: -5.42
# V in A^3/atom: 11.991
# DOS at the Fermi energy in states/eV/atom: 0.42
data_MnAgO2F
_chemical_formula_sum 'Mn1 Ag1 O2 F1'
_symmetry_space_group_name_H-M 'P 4/m m m'
_symmetry_Int_Tables_number 123
_symmetry_space_group_name_Hall '-P 4 2'
_cell_length_a 3.857
_cell_length_b 3.857
_cell_length_c 4.031
_cell_angle_alpha 90.00
_cell_angle_beta 90.00
_cell_angle_gamma 90.00
loop_
_atom_site_label
_atom_site_type_symbol
_atom_site_fract_x
_atom_site_fract_y
_atom_site_fract_z
Mn1 Mn 0.000 0.000 0.000
Ag1 Ag 0.500 0.500 0.500
O1 O 0.000 0.500 0.000
F1 F 0.000 0.000 0.500